1.
A plane-wave DFT calculation with GGA-PBE was carried out for BeAg2Cl after structural relaxation.

Cell and atoms, written as POSCAR:
```
BeAg2Cl
1.0
-1.459 2.406 6.117
1.459 -2.406 6.117
1.459 2.406 -6.117
Be Ag Cl
1 2 1
Direct
0.000 0.000 0.000
0.440 0.440 0.000
0.835 0.335 0.500
0.118 0.618 0.500
```

## Properties
Its energy relative to the elements, uncorrected is -1 kJ per mole of atoms. The calculation puts the distance to the lowest polymorph of the same formula at 0.106 eV/atom. The density of states at the Fermi level comes out at 0.1974 states/eV/atom. The total energy comes out at -11.31 eV/cell. The value obtained for the volume is 21.47 Å³/atom. Its space group is Imm2.

2.
A plane-wave DFT calculation with GGA-PBE was carried out for ThCoH3 after structural relaxation.

Cell and atoms, written as POSCAR:
```
ThCoH3
1.0
4.204 0.000 0.000
0.000 4.489 0.000
-2.068 0.000 5.603
Th Co H
2 2 6
Direct
0.145 0.000 0.271
0.855 0.500 0.729
0.463 0.017 0.845
0.537 0.517 0.155
0.151 0.502 0.161
0.304 0.258 0.637
0.426 0.664 0.878
0.574 0.164 0.122
0.696 0.758 0.363
0.849 0.002 0.839
```

## Properties
The density of states at the Fermi level comes out at 0.3992 states/eV/atom. The total energy comes out at -53.06 eV/cell. The value obtained for the volume is 10.57 Å³/atom. Its space group is P2_1.

3.
A plane-wave DFT calculation with GGA-PBE was carried out for AlZn2CdO after structural relaxation.

Cell and atoms, written as POSCAR:
```
AlZn2CdO
1.0
4.740 0.000 0.000
0.000 4.740 0.000
0.000 0.000 5.230
Al Zn Cd O
1 2 1 1
Direct
0.000 0.000 0.000
0.000 0.500 0.000
0.500 0.000 0.000
0.000 0.000 0.500
0.500 0.500 0.500
```

## Properties
Its energy relative to the elements, uncorrected is 67 kJ per mole of atoms. The density of states at the Fermi level comes out at 2.7740 states/eV/atom. The total energy comes out at -8.72 eV/cell. The value obtained for the volume is 23.50 Å³/atom. Its space group is P4/mmm.